Record 1
8
Lattice="4.747 0.000 0.000 0.000 4.747 0.000 2.373 2.373 6.465" Properties=species:S:1:pos:R:3 comment="PBE-GGA B2OsPb, optimized geometry" delta_e_f_ev_per_atom=0.618 m_tot_mub_per_fu=0.0 energy_ev_per_fu=-25.82 pbc="T T T"
Os 2.373 4.747 3.232
Os 2.373 2.373 0.000
B 3.560 4.747 4.848
B 5.933 4.747 4.848
B 2.374 1.187 1.616
B 2.373 3.560 1.616
Pb 0.000 0.000 0.000
Pb 4.747 2.373 3.232



Record 2
5
Lattice="5.277 0.000 0.000 0.000 3.605 0.000 0.000 0.000 5.277" Properties=species:S:1:pos:R:3 comment="PBE-GGA BOsPb2S, optimized geometry" m_tot_mub_per_fu=0.8 energy_ev_per_fu=-23.20 pbc="T T T"
Pb 0.000 0.000 2.638
Pb 2.638 0.000 0.000
B 0.000 0.000 0.000
Os 2.638 1.803 2.638
S 0.000 1.803 0.000



Record 3
5
Lattice="4.135 0.000 0.000 0.000 4.906 0.000 0.000 0.000 4.135" Properties=species:S:1:pos:R:3 comment="PBE-GGA B2OsPbSe, optimized geometry" m_tot_mub_per_fu=0.0 energy_ev_per_fu=-22.69 pbc="T T T"
B 0.000 0.000 2.068
B 2.068 0.000 0.000
Os 0.000 2.453 0.000
Se 0.000 0.000 0.000
Pb 2.068 2.453 2.068



Record 4
5
Lattice="5.231 0.000 0.000 0.000 5.131 0.000 0.000 0.000 5.231" Properties=species:S:1:pos:R:3 comment="PBE-GGA Si2BOsPb, optimized geometry" e_above_lowest_polymorph_mev_per_atom=2120 m_tot_mub_per_fu=1.4 energy_ev_per_fu=-17.65 pbc="T T T"
Si 2.616 0.000 0.000
Si 0.000 0.000 2.616
B 2.616 2.565 2.616
Os 0.000 2.565 0.000
Pb 0.000 0.000 0.000



> Which formula does entry 2 have?

BOsPb2S